1.
Material: LiLa3Hg4
Method: DFT, GGA-PBE
State: optimized geometry

Properties
Raw total energy, eV per formula unit: -21.60
Size of the total moment, μB per formula unit: 0.00

a = 5.3716 Å, b = 5.3716 Å, c = 26.9240 Å
α = 90.00°, β = 90.00°, γ = 120.00°
Space group R-3m (No. 166, hexagonal axes)
Inequivalent atoms, fractional coordinates:
Li (0.0000, 0.0000, 0.0000) x3
La (0.0000, 0.0000, 0.2558) x6
La (0.0000, 0.0000, 0.5000) x3
Hg (0.0000, 0.0000, 0.1219) x6
Hg (0.0000, 0.0000, 0.3739) x6

2.
Material: Sr3TlO
Method: DFT, GGA-PBE
State: optimized geometry

Properties
Raw total energy, eV per formula unit: -18.36
ΔE_f (raw), eV per atom: -1.20
Size of the total moment, μB per formula unit: 0.00

a = 6.390 Å, b = 15.221 Å, c = 7.216 Å
α = 90.00°, β = 90.00°, γ = 90.00°
Space group Pnma (No. 62)
Inequivalent atoms, fractional coordinates:
Sr (0.005, 0.118, 0.062) x8
Sr (0.046, 0.250, 0.595) x4
Tl (0.000, 0.000, 0.500) x4
O (0.075, 0.750, 0.095) x4

3.
Material: YHRh3
Method: DFT, GGA-PBE
State: optimized geometry

Properties
Raw total energy, eV per formula unit: -34.18
Excess energy over the best structure of this formula in the dataset, meV/atom: 33
Size of the total moment, μB per formula unit: 0.00

a = 4.100 Å, b = 5.869 Å, c = 5.807 Å
α = 90.00°, β = 90.30°, γ = 90.00°
Space group Pm (No. 6)
Inequivalent atoms, fractional coordinates:
Y (0.000, 0.000, 0.000) x1
Y (0.003, 0.500, 0.503) x1
H (0.401, 0.500, 0.868) x1
H (0.653, 0.500, 0.174) x1
Rh (0.000, 0.000, 0.500) x1
Rh (0.007, 0.500, 0.000) x1
Rh (0.495, 0.234, 0.261) x2
Rh (0.505, 0.236, 0.742) x2

4.
Material: Nd3Co3Ni
Method: DFT, GGA-PBE
State: optimized geometry

Properties
Raw total energy, eV per formula unit: -42.13
Size of the total moment, μB per formula unit: 2.32

a = 4.339 Å, b = 10.117 Å, c = 12.542 Å
α = 90.00°, β = 90.00°, γ = 90.00°
Space group Cmcm (No. 63)
Inequivalent atoms, fractional coordinates:
Nd (0.000, 0.026, 0.250) x4
Nd (0.000, 0.267, 0.602) x8
Co (0.000, 0.333, 0.250) x4
Co (0.000, 0.441, 0.084) x8
Ni (0.000, 0.000, 0.000) x4

5.
Material: BaTaRe2
Method: DFT, GGA-PBE
State: optimized geometry

Properties
Raw total energy, eV per formula unit: -33.76
Excess energy over the best structure of this formula in the dataset, meV/atom: 577
Size of the total moment, μB per formula unit: 0.00

a = 6.803 Å, b = 6.803 Å, c = 6.803 Å
α = 90.00°, β = 90.00°, γ = 90.00°
Space group Fm-3m (No. 225)
Inequivalent atoms, fractional coordinates:
Ba (0.000, 0.000, 0.000) x4
Ta (0.000, 0.000, 0.500) x4
Re (0.250, 0.250, 0.250) x8

6.
Material: Te2SeCl
Method: DFT, GGA-PBE
State: optimized geometry

Properties
Raw total energy, eV per formula unit: -11.08
ΔE_f (raw), eV per atom: 0.13
Excess energy over the best structure of this formula in the dataset, meV/atom: 282
Size of the total moment, μB per formula unit: 0.00

a = 3.606 Å, b = 6.965 Å, c = 8.954 Å
α = 90.00°, β = 90.00°, γ = 90.00°
Space group Cmmm (No. 65)
Inequivalent atoms, fractional coordinates:
Te (0.000, 0.000, 0.238) x4
Se (0.000, 0.500, 0.000) x2
Cl (0.000, 0.500, 0.500) x2

7.
Material: Pr2MgZn4
Method: DFT, GGA-PBE
State: optimized geometry

Properties
Raw total energy, eV per formula unit: -17.13
Size of the total moment, μB per formula unit: 0.00

a = 4.9059 Å, b = 4.9059 Å, c = 24.4434 Å
α = 90.00°, β = 90.00°, γ = 120.00°
Space group R-3m (No. 166, hexagonal axes)
Inequivalent atoms, fractional coordinates:
Pr (0.0000, 0.0000, 0.2499) x6
Mg (0.0000, 0.0000, 0.0000) x3
Zn (0.0000, 0.0000, 0.1257) x6
Zn (0.0000, 0.0000, 0.3740) x6

8.
Material: TbSi2NiPt4
Method: DFT, GGA-PBE
State: optimized geometry

Properties
Raw total energy, eV per formula unit: -49.91
ΔE_f (raw), eV per atom: -0.56
Size of the total moment, μB per formula unit: 0.00

a = 3.970 Å, b = 3.970 Å, c = 9.206 Å
α = 90.00°, β = 90.00°, γ = 90.00°
Space group P4/mmm (No. 123)
Inequivalent atoms, fractional coordinates:
Tb (0.000, 0.000, 0.000) x1
Si (0.500, 0.500, 0.378) x2
Ni (0.000, 0.000, 0.500) x1
Pt (0.000, 0.500, 0.241) x4

Q: The lowest raw total energy belongs to which entry?
A: TbSi2NiPt4

Q: The highest size of the total moment belongs to which entry?
A: Nd3Co3Ni

Q: The highest size of the total moment belongs to which entry?
A: Nd3Co3Ni